Density functional theory data (PBE-GGA) for a relaxed structure of Os7Pt.

Cell and atoms, written as POSCAR:
```
Os7Pt
1.0
-1.975 -4.566 -2.272
-1.966 -4.001 3.168
-5.374 -1.007 0.113
Os Pt
7 1
direct
0.500 0.000 0.000
0.000 0.000 0.500
0.500 0.000 0.500
0.000 0.500 0.000
0.500 0.500 0.000
0.000 0.500 0.500
0.500 0.500 0.500
0.000 0.000 0.000
```

Results
DOS at the Fermi energy = 9.3 states/eV per cell
electronic total energy = -10.398 eV per atom
space group = Fm-3m, No. 225
energy of formation from the pure elements = 0.1831 eV per atom